# NaHgAu2F8 | Alexandria | PBE | optimized geometry
data_NaHgAu2F8
_chemical_formula_sum 'Na1 Hg1 Au2 F8'
_cell_length_a 5.878
_cell_length_b 5.878
_cell_length_c 6.929
_cell_angle_alpha 115.10
_cell_angle_beta 115.10
_cell_angle_gamma 90.00
_symmetry_space_group_name_H-M 'P 1'
_symmetry_Int_Tables_number 1
_symmetry_space_group_name_Hall 'P 1'
loop_
_atom_site_label
_atom_site_fract_x
_atom_site_fract_y
_atom_site_fract_z
Na1 0.000 0.000 0.000
Hg1 0.750 0.250 0.500
Au1 0.500 0.500 0.000
Au2 0.250 0.750 0.500
F1 0.797 0.647 0.996
F2 0.199 0.348 0.996
F3 0.577 0.593 0.516
F4 0.938 0.923 0.516
F5 0.077 0.423 0.484
F6 0.407 0.062 0.484
F7 0.353 0.801 0.004
F8 0.652 0.203 0.004
# - Formation energy (no corrections): -1355 meV/atom
# - Spin magnetization: 0.2 μB per formula unit